Here is crystalline Tm2InSi at its relaxed geometry from Alexandria. Energies are from GGA-PBE.

Lattice parameters (Å, degrees): 3.278 3.278 8.564 90.00 90.00 90.00
Space group P4/mmm (No. 123)
Unique sites:
Tm: 0.000 0.000 0.217 [2 per cell]
In: 0.500 0.500 0.500 [1 per cell]
Si: 0.500 0.500 0.000 [1 per cell]

Computed properties:
- total energy (eV per atom) = -4.737


Here is crystalline LiZr2W at its relaxed geometry from Alexandria. Energies are from GGA-PBE.

Lattice parameters (Å, degrees): 10.356 2.974 5.101 90.00 103.52 90.00
Space group Cm (No. 8)
Unique sites:
Li: 0.000 0.000 0.000 [2 per cell]
Zr: 0.244 0.000 0.808 [2 per cell]
Zr: 0.473 0.000 0.478 [2 per cell]
W: 0.220 0.500 0.288 [2 per cell]

Computed properties:
- total energy (eV per atom) = -7.642
- calculated formation energy (eV/atom) = 0.3492


Here is crystalline Dy4PS3 at its relaxed geometry from Alexandria. Energies are from GGA-PBE.

Lattice parameters (Å, degrees): 5.555 5.555 5.555 90.00 90.00 90.00
Space group Pm-3m (No. 221)
Unique sites:
Dy: 0.000 0.000 0.000 [1 per cell]
Dy: 0.000 0.500 0.500 [3 per cell]
P: 0.500 0.500 0.500 [1 per cell]
S: 0.000 0.000 0.500 [3 per cell]

Computed properties:
- total energy (eV per atom) = -6.475


Here is crystalline Sc2AlGa2Pd5 at its relaxed geometry from Alexandria. Energies are from GGA-PBE.

Lattice parameters (Å, degrees): 9.575 9.575 3.644 90.00 90.00 90.00
Space group P4/mbm (No. 127)
Unique sites:
Sc: 0.172 0.328 0.000 [4 per cell]
Al: 0.000 0.000 0.000 [2 per cell]
Ga: 0.128 0.628 0.000 [4 per cell]
Pd: 0.000 0.500 0.500 [2 per cell]
Pd: 0.064 0.800 0.500 [8 per cell]

Computed properties:
- total energy (eV per atom) = -5.580
- calculated formation energy (eV/atom) = -0.7378